Co2Os2Ru: optimized geometry, PBE.

The structure in POSCAR format:
```
Co2Os2Ru
1.0
6.917 0.000 0.000
0.000 6.917 0.000
0.000 0.000 2.708
Co Os Ru
4 4 2
Direct
0.120 0.380 0.000 Co
0.380 0.880 0.000 Co
0.620 0.120 0.000 Co
0.880 0.620 0.000 Co
0.176 0.676 0.500 Os
0.324 0.176 0.500 Os
0.676 0.824 0.500 Os
0.824 0.324 0.500 Os
0.000 0.000 0.000 Ru
0.500 0.500 0.000 Ru
```

Results
SG = P4/mbm (127)
ΔH_f (0 K) = 0.306 eV per atom